[1]
GaPtBr: relaxed, PBE.

Structure (CIF):
```
data_GaPtBr
_chemical_formula_sum 'Ga2 Pt2 Br2'
_cell_length_a 3.725
_cell_length_b 4.063
_cell_length_c 10.256
_cell_angle_alpha 90.00
_cell_angle_beta 90.00
_cell_angle_gamma 90.00
_space_group_name_H-M_alt 'P m m n'
_space_group_IT_number 59
loop_
_space_group_symop_operation_xyz
'x,y,z'
'-x,-y,-z'
'-x+1/2,-y+1/2,z'
'x+1/2,y+1/2,-z'
'x+1/2,-y,-z'
'-x+1/2,y,z'
'-x,y+1/2,-z'
'x,-y+1/2,z'
loop_
_atom_site_label
_atom_site_fract_x
_atom_site_fract_y
_atom_site_fract_z
Ga1 0.250 0.250 0.163
Pt1 0.250 0.750 0.016
Br1 0.250 0.750 0.661
```

Results
uncorrected formation energy	-0.524	eV per atom
Fermi-level density of states	0.86	states/eV/f.u.

=====

[2]
Nd2DyN2Cl2: relaxed, PBE.

Structure (CIF):
```
data_Nd2DyN2Cl2
_chemical_formula_sum 'Nd4 Dy2 N4 Cl4'
_cell_length_a 4.496
_cell_length_b 4.496
_cell_length_c 15.149
_cell_angle_alpha 90.00
_cell_angle_beta 90.00
_cell_angle_gamma 90.00
_space_group_name_H-M_alt 'I 4/m m m'
_space_group_IT_number 139
_space_group_name_Hall '-I 4 2'
loop_
_atom_site_label
_atom_site_fract_x
_atom_site_fract_y
_atom_site_fract_z
Nd1 0.000 0.000 0.098
Dy1 0.000 0.000 0.500
N1 0.000 0.500 0.000
Cl1 0.000 0.000 0.316
```

Results
uncorrected formation energy	-1.470	eV per atom
Fermi-level density of states	1.71	states/eV/f.u.

=====

| no. | calculated volume (Å³ per cell) |
| --- | --- |
| 1 | 155.19 |
| 2 | 306.15 |